Record 1
An optimized crystal structure of LiEr6Te8, computed with PBE-GGA.

Results
DFT total energy	-4.912	eV per atom
formation energy from raw total energies	-124	kJ per mole of atoms
SG	No. 225

abc: 8.608 8.608 8.608
angles: 60.00 60.00 60.00
Fractional positions:
Li (0.000, 0.000, 0.000)
Er (0.000, 0.000, 0.500)
Er (0.000, 0.500, 0.000)
Er (0.000, 0.500, 0.500)
Er (0.500, 0.000, 0.000)
Er (0.500, 0.000, 0.500)
Er (0.500, 0.500, 0.000)
Te (0.250, 0.250, 0.250)
Te (0.250, 0.250, 0.750)
Te (0.250, 0.750, 0.250)
Te (0.250, 0.750, 0.750)
Te (0.750, 0.250, 0.250)
Te (0.750, 0.250, 0.750)
Te (0.750, 0.750, 0.250)
Te (0.750, 0.750, 0.750)

Record 2
An optimized crystal structure of YSn2HgSe4, computed with PBE-GGA.

Results
DFT total energy	-4.305	eV per atom
formation energy from raw total energies	-69	kJ per mole of atoms
SG	No. 10

abc: 7.361 4.191 7.519
angles: 90.00 109.60 90.00
Fractional positions:
Y (0.000, 0.000, 0.000)
Sn (0.500, 0.000, 0.500)
Sn (0.500, 0.500, 0.000)
Hg (0.000, 0.500, 0.500)
Se (0.244, 0.500, 0.230)
Se (0.248, 0.000, 0.765)
Se (0.752, 0.000, 0.235)
Se (0.756, 0.500, 0.770)

Record 3
An optimized crystal structure of Th2SbS, computed with PBE-GGA.

Results
DFT total energy	-6.931	eV per atom
formation energy from raw total energies	-112	kJ per mole of atoms
SG	No. 160
E above lowest polymorph	0.189	eV per atom

abc: 8.264 8.264 8.264
angles: 28.35 28.35 28.35
Fractional positions:
Th (0.000, 0.000, 0.000)
Th (0.157, 0.157, 0.157)
Sb (0.579, 0.579, 0.579)
S (0.746, 0.746, 0.746)